1.
VASP calculation (PBE) on crystalline CrNiIr at its relaxed geometry.

POSCAR file:
```
CrNiIr
1.0
-1.5079 1.5079 4.1300
1.5079 -1.5079 4.1300
1.5079 1.5079 -4.1300
Cr Ni Ir
1 1 1
direct
0.0000 0.0000 0.0000
0.6414 0.6414 0.0000
0.3237 0.3237 0.0000
```

Output
symmetry	I4mm, No. 107
DFT total energy	-8.0794	eV/atom

=====

2.
VASP calculation (PBE) on crystalline Ba2AlPd at its relaxed geometry.

POSCAR file:
```
Ba2AlPd
1.0
3.9346 -2.2716 0.0000
3.9346 2.2716 0.0000
-2.5750 0.0000 8.7806
Ba Al Pd
2 1 1
direct
0.0000 0.0000 0.0000
0.1669 0.1669 0.5097
0.4169 0.4169 0.2549
0.7502 0.7502 0.2548
```

Output
symmetry	Cm, No. 8
DFT total energy	-3.6368	eV/atom

=====

3.
VASP calculation (PBE) on crystalline LaHoScAg at its relaxed geometry.

POSCAR file:
```
LaHoScAg
1.0
0.0000 3.7969 3.7969
3.7969 0.0000 3.7969
3.7969 3.7969 0.0000
La Ho Sc Ag
1 1 1 1
direct
0.0000 0.0000 0.0000
0.5000 0.5000 0.5000
0.2500 0.2500 0.2500
0.7500 0.7500 0.7500
```

Output
symmetry	F-43m, No. 216
DFT total energy	-4.6274	eV/atom

=====

4.
VASP calculation (PBE) on crystalline Tb12ErSc3 at its relaxed geometry.

POSCAR file:
```
Tb12ErSc3
1.0
4.9557 0.0000 0.0000
0.0000 4.9557 0.0000
0.0000 0.0000 19.7683
Tb Er Sc
12 1 3
direct
0.0000 0.0000 0.0000
0.0000 0.0000 0.2476
0.0000 0.0000 0.5000
0.0000 0.0000 0.7524
0.0000 0.5000 0.1239
0.0000 0.5000 0.3718
0.0000 0.5000 0.6282
0.0000 0.5000 0.8761
0.5000 0.0000 0.1239
0.5000 0.0000 0.3718
0.5000 0.0000 0.6282
0.5000 0.0000 0.8761
0.5000 0.5000 0.5000
0.5000 0.5000 0.0000
0.5000 0.5000 0.2480
0.5000 0.5000 0.7520
```

Output
symmetry	P4/mmm, No. 123
DFT total energy	-4.9112	eV/atom

=====

These records have V values of 12.521; 39.240; 27.369; 30.343 A^3/atom, in the order they appear.